(1)
Here is TePdN2O at its PBEsol-relaxed geometry from Alexandria. Energies are from SCAN.

Lattice parameters (Å, degrees): 3.8381 3.8381 4.1963 90.00 90.00 90.00
Fractional positions:
Pd: 0.5000 0.5000 0.5000
O: 0.0000 0.0000 0.0000
N: 0.5000 0.0000 0.0000
N: 0.0000 0.5000 0.0000
Te: 0.0000 0.0000 0.5000

## Properties
**Formation energy from raw total energies**: 1.863 eV/atom
**Fermi-level density of states**: 1.822 states/eV/cell
**Size of the total moment**: 0.45 μB/atom
**Space-group type**: P4/mmm

***

(2)
Here is Te2PdNO at its PBEsol-relaxed geometry from Alexandria. Energies are from SCAN.

Lattice parameters (Å, degrees): 3.6475 4.6681 4.6681 90.00 90.00 90.00
Fractional positions:
Te: 0.0000 0.0000 0.5000
Te: 0.0000 0.5000 0.0000
O: 0.0000 0.0000 0.0000
N: 0.5000 0.0000 0.0000
Pd: 0.5000 0.5000 0.5000

## Properties
**Formation energy from raw total energies**: 1.065 eV/atom
**Fermi-level density of states**: 2.963 states/eV/cell
**Size of the total moment**: 0.00 μB/atom
**Space-group type**: P4/mmm

***

(3)
Here is TiPdNO2 at its PBEsol-relaxed geometry from Alexandria. Energies are from SCAN.

Lattice parameters (Å, degrees): 3.7291 3.7291 4.0922 90.00 90.00 90.00
Fractional positions:
O: 0.5000 0.0000 0.0000
O: 0.0000 0.5000 0.0000
Ti: 0.0000 0.0000 0.0000
Pd: 0.5000 0.5000 0.5000
N: 0.0000 0.0000 0.5000

## Properties
**Formation energy from raw total energies**: -0.813 eV/atom
**Fermi-level density of states**: 3.835 states/eV/cell
**Size of the total moment**: 0.20 μB/atom
**Space-group type**: P4/mmm

***

(4)
Here is ZrPdN2O at its PBEsol-relaxed geometry from Alexandria. Energies are from SCAN.

Lattice parameters (Å, degrees): 3.7795 3.8488 3.8488 90.00 90.00 90.00
Fractional positions:
N: 0.0000 0.5000 0.0000
N: 0.0000 0.0000 0.5000
O: 0.5000 0.0000 0.0000
Zr: 0.5000 0.5000 0.5000
Pd: 0.0000 0.0000 0.0000

## Properties
**Formation energy from raw total energies**: 0.042 eV/atom
**Fermi-level density of states**: 1.878 states/eV/cell
**Size of the total moment**: 0.00 μB/atom
**Space-group type**: P4/mmm

***

(5)
Here is PrZrNO2 at its PBEsol-relaxed geometry from Alexandria. Energies are from SCAN.

Lattice parameters (Å, degrees): 5.7418 5.8817 8.1009 90.00 90.50 90.00
Fractional positions:
Zr: 0.5000 0.0000 0.5000
Zr: 0.5000 0.0000 0.0000
Zr: 0.0000 0.5000 0.0000
Zr: 0.0000 0.5000 0.5000
O: 0.7884 0.2112 0.5620
O: 0.1098 0.5361 0.7499
O: 0.2884 0.2888 0.0620
O: 0.8902 0.4639 0.2501
O: 0.3902 0.0361 0.7501
O: 0.7116 0.7112 0.9380
O: 0.6098 0.9639 0.2499
O: 0.2116 0.7888 0.4380
Pr: 0.5197 0.4530 0.7443
Pr: 0.9803 0.9530 0.7557
Pr: 0.4803 0.5470 0.2557
Pr: 0.0197 0.0470 0.2443
N: 0.2089 0.7908 0.0579
N: 0.2911 0.2908 0.4421
N: 0.7089 0.7092 0.5579
N: 0.7911 0.2092 0.9421

## Properties
**Formation energy from raw total energies**: -3.035 eV/atom
**Fermi-level density of states**: 0.000 states/eV/cell
**Size of the total moment**: 0.00 μB/atom
**Space-group type**: P2_1/c

***

(6)
Here is RbPtN2O at its PBEsol-relaxed geometry from Alexandria. Energies are from SCAN.

Lattice parameters (Å, degrees): 4.2428 4.9920 4.9920 90.00 90.00 90.00
Fractional positions:
N: 0.0000 0.5000 0.0000
N: 0.0000 0.0000 0.5000
Rb: 0.0000 0.0000 0.0000
O: 0.5000 0.0000 0.0000
Pt: 0.5000 0.5000 0.5000

## Properties
**Formation energy from raw total energies**: 2.882 eV/atom
**Fermi-level density of states**: 2.926 states/eV/cell
**Size of the total moment**: 1.25 μB/atom
**Space-group type**: P4/mmm

***

(7)
Here is PtRhN2O at its PBEsol-relaxed geometry from Alexandria. Energies are from SCAN.

Lattice parameters (Å, degrees): 3.7830 3.7830 4.0276 90.00 90.00 90.00
Fractional positions:
Pt: 0.0000 0.0000 0.0000
O: 0.0000 0.0000 0.5000
N: 0.0000 0.5000 0.0000
N: 0.5000 0.0000 0.0000
Rh: 0.5000 0.5000 0.5000

## Properties
**Formation energy from raw total energies**: 1.435 eV/atom
**Fermi-level density of states**: 3.520 states/eV/cell
**Size of the total moment**: 0.70 μB/atom
**Space-group type**: P4/mmm

***

(8)
Here is SbPtNO2 at its PBEsol-relaxed geometry from Alexandria. Energies are from SCAN.

Lattice parameters (Å, degrees): 3.8328 3.8328 4.1942 90.00 90.00 90.00
Fractional positions:
O: 0.5000 0.0000 0.0000
O: 0.0000 0.5000 0.0000
Sb: 0.0000 0.0000 0.0000
N: 0.0000 0.0000 0.5000
Pt: 0.5000 0.5000 0.5000

## Properties
**Formation energy from raw total energies**: 0.448 eV/atom
**Fermi-level density of states**: 1.486 states/eV/cell
**Size of the total moment**: 0.16 μB/atom
**Space-group type**: P4/mmm

***

(9)
Here is PtSe2NO at its PBEsol-relaxed geometry from Alexandria. Energies are from SCAN.

Lattice parameters (Å, degrees): 3.5875 5.1043 5.1043 90.00 90.00 90.00
Fractional positions:
N: 0.5000 0.0000 0.0000
Se: 0.0000 0.0000 0.5000
Se: 0.0000 0.5000 0.0000
Pt: 0.0000 0.0000 0.0000
O: 0.5000 0.5000 0.5000

## Properties
**Formation energy from raw total energies**: 1.127 eV/atom
**Fermi-level density of states**: 4.237 states/eV/cell
**Size of the total moment**: 0.69 μB/atom
**Space-group type**: P4/mmm

***

(10)
Here is PtSe2NO at its PBEsol-relaxed geometry from Alexandria. Energies are from SCAN.

Lattice parameters (Å, degrees): 3.5286 4.4291 4.4291 90.00 90.00 90.00
Fractional positions:
N: 0.5000 0.0000 0.0000
Se: 0.0000 0.0000 0.5000
Se: 0.0000 0.5000 0.0000
O: 0.0000 0.0000 0.0000
Pt: 0.5000 0.5000 0.5000

## Properties
**Formation energy from raw total energies**: 1.387 eV/atom
**Fermi-level density of states**: 2.421 states/eV/cell
**Size of the total moment**: 0.38 μB/atom
**Space-group type**: P4/mmm

***

(11)
Here is SiPtNO2 at its PBEsol-relaxed geometry from Alexandria. Energies are from SCAN.

Lattice parameters (Å, degrees): 3.6568 4.0794 4.0794 90.00 90.00 90.00
Fractional positions:
O: 0.0000 0.0000 0.5000
O: 0.0000 0.5000 0.0000
N: 0.5000 0.0000 0.0000
Si: 0.5000 0.5000 0.5000
Pt: 0.0000 0.0000 0.0000

## Properties
**Formation energy from raw total energies**: 0.605 eV/atom
**Fermi-level density of states**: 1.601 states/eV/cell
**Size of the total moment**: 0.00 μB/atom
**Space-group type**: P4/mmm

***

(12)
Here is Te2PtNO at its PBEsol-relaxed geometry from Alexandria. Energies are from SCAN.

Lattice parameters (Å, degrees): 3.6220 4.6872 4.6872 90.00 90.00 90.00
Fractional positions:
N: 0.5000 0.0000 0.0000
Pt: 0.5000 0.5000 0.5000
Te: 0.0000 0.0000 0.5000
Te: 0.0000 0.5000 0.0000
O: 0.0000 0.0000 0.0000

## Properties
**Formation energy from raw total energies**: 1.093 eV/atom
**Fermi-level density of states**: 2.278 states/eV/cell
**Size of the total moment**: 0.29 μB/atom
**Space-group type**: P4/mmm

***

(13)
Here is TiPtNO2 at its PBEsol-relaxed geometry from Alexandria. Energies are from SCAN.

Lattice parameters (Å, degrees): 3.7060 3.7060 4.1347 90.00 90.00 90.00
Fractional positions:
O: 0.5000 0.0000 0.0000
O: 0.0000 0.5000 0.0000
N: 0.0000 0.0000 0.5000
Pt: 0.5000 0.5000 0.5000
Ti: 0.0000 0.0000 0.0000

## Properties
**Formation energy from raw total energies**: -0.528 eV/atom
**Fermi-level density of states**: 3.744 states/eV/cell
**Size of the total moment**: 0.00 μB/atom
**Space-group type**: P4/mmm

***

(14)
Here is ZnPtNO2 at its PBEsol-relaxed geometry from Alexandria. Energies are from SCAN.

Lattice parameters (Å, degrees): 3.6283 4.0794 4.0794 90.00 90.00 90.00
Fractional positions:
Zn: 0.5000 0.5000 0.5000
O: 0.0000 0.0000 0.5000
O: 0.0000 0.5000 0.0000
N: 0.5000 0.0000 0.0000
Pt: 0.0000 0.0000 0.0000

## Properties
**Formation energy from raw total energies**: 0.409 eV/atom
**Fermi-level density of states**: 1.873 states/eV/cell
**Size of the total moment**: 0.00 μB/atom
**Space-group type**: P4/mmm

***

(15)
Here is Rb3NO at its PBEsol-relaxed geometry from Alexandria. Energies are from SCAN.

Lattice parameters (Å, degrees): 5.3410 5.3410 5.3410 90.00 90.00 90.00
Fractional positions:
Rb: 0.5000 0.0000 0.0000
Rb: 0.0000 0.5000 0.0000
Rb: 0.0000 0.0000 0.5000
O: 0.5000 0.5000 0.5000
N: 0.0000 0.0000 0.0000

## Properties
**Formation energy from raw total energies**: 0.210 eV/atom
**Fermi-level density of states**: 8.966 states/eV/cell
**Size of the total moment**: 0.40 μB/atom
**Space-group type**: Pm-3m

***

(16)
Here is RbSeN2O at its PBEsol-relaxed geometry from Alexandria. Energies are from SCAN.

Lattice parameters (Å, degrees): 3.7587 5.2419 5.2419 90.00 90.00 90.00
Fractional positions:
N: 0.0000 0.0000 0.5000
N: 0.0000 0.5000 0.0000
O: 0.0000 0.0000 0.0000
Rb: 0.5000 0.5000 0.5000
Se: 0.5000 0.0000 0.0000

## Properties
**Formation energy from raw total energies**: 1.394 eV/atom
**Fermi-level density of states**: 2.056 states/eV/cell
**Size of the total moment**: 1.20 μB/atom
**Space-group type**: P4/mmm

***

(17)
Here is RbSeN2O at its PBEsol-relaxed geometry from Alexandria. Energies are from SCAN.

Lattice parameters (Å, degrees): 4.9470 5.5164 5.5164 90.00 90.00 90.00
Fractional positions:
O: 0.5000 0.0000 0.0000
N: 0.0000 0.5000 0.0000
N: 0.0000 0.0000 0.5000
Rb: 0.0000 0.0000 0.0000
Se: 0.5000 0.5000 0.5000

## Properties
**Formation energy from raw total energies**: 2.136 eV/atom
**Fermi-level density of states**: 0.909 states/eV/cell
**Size of the total moment**: 1.80 μB/atom
**Space-group type**: P4/mmm

***

(18)
Here is RbSnNO2 at its PBEsol-relaxed geometry from Alexandria. Energies are from SCAN.

Lattice parameters (Å, degrees): 4.3547 4.3547 4.4551 90.00 90.00 90.00
Fractional positions:
Rb: 0.0000 0.0000 0.0000
O: 0.0000 0.5000 0.0000
O: 0.5000 0.0000 0.0000
Sn: 0.5000 0.5000 0.5000
N: 0.0000 0.0000 0.5000

## Properties
**Formation energy from raw total energies**: 1.448 eV/atom
**Fermi-level density of states**: 2.856 states/eV/cell
**Size of the total moment**: 0.30 μB/atom
**Space-group type**: P4/mmm

***

(19)
Here is RbTcN2O at its PBEsol-relaxed geometry from Alexandria. Energies are from SCAN.

Lattice parameters (Å, degrees): 4.1382 4.3213 4.3213 90.00 90.00 90.00
Fractional positions:
N: 0.0000 0.5000 0.0000
N: 0.0000 0.0000 0.5000
Rb: 0.0000 0.0000 0.0000
Tc: 0.5000 0.5000 0.5000
O: 0.5000 0.0000 0.0000

## Properties
**Formation energy from raw total energies**: 2.877 eV/atom
**Fermi-level density of states**: 3.493 states/eV/cell
**Size of the total moment**: 0.63 μB/atom
**Space-group type**: P4/mmm

***

(20)
Here is RbTeN2O at its PBEsol-relaxed geometry from Alexandria. Energies are from SCAN.

Lattice parameters (Å, degrees): 4.1052 4.4031 4.4031 90.00 90.00 90.00
Fractional positions:
N: 0.0000 0.5000 0.0000
N: 0.0000 0.0000 0.5000
Rb: 0.0000 0.0000 0.0000
O: 0.5000 0.0000 0.0000
Te: 0.5000 0.5000 0.5000

## Properties
**Formation energy from raw total energies**: 2.581 eV/atom
**Fermi-level density of states**: 2.764 states/eV/cell
**Size of the total moment**: 0.07 μB/atom
**Space-group type**: P4/mmm